A plane-wave DFT calculation with PBE was carried out for crystalline DyF3 at its relaxed geometry.

## Properties
volume	109.67	Å³/cell
ΔE_f (raw)	-16.6	eV per formula unit
magnetic moment	0.0	μB per formula unit

Cell: 3.604 5.931 5.926 Å, 120.04 90.00 90.00°
Element x y z (fractional)
Dy  0.750  0.333  0.666
Dy  0.250  0.667  0.334
F  0.750  0.679  0.085
F  0.250  0.594  0.679
F  0.250  0.321  0.915
F  0.750  0.406  0.321
F  0.750  0.915  0.594
F  0.250  0.085  0.406